[1]
{"formula": "SrZn2Pt", "functional": "PBE", "state": "optimized geometry", "cell": [[-0.347, -3.965, 0.389], [2.267, -0.518, -3.257], [4.907, -0.094, 3.421]], "species": ["Sr", "Zn", "Zn", "Pt"], "frac_coords": [[0.500, 0.874, 0.692], [0.500, 0.375, 0.179], [0.000, 0.875, 0.180], [0.000, 0.375, 0.449]], "e_form_ev_per_atom": -0.384, "space_group": "Pm (6)", "crystal_system": "monoclinic", "m_tot_mub_per_fu": 0.0}

---

[2]
{"formula": "P2OsSCl", "functional": "PBE", "state": "optimized geometry", "cell": [[4.572, 0.000, 0.000], [0.000, 4.572, 0.000], [0.000, 0.000, 4.765]], "species": ["P", "P", "Os", "Cl", "S"], "frac_coords": [[0.000, 0.500, 0.000], [0.500, 0.000, 0.000], [0.000, 0.000, 0.000], [0.000, 0.000, 0.500], [0.500, 0.500, 0.500]], "space_group": "P4/mmm (123)", "crystal_system": "tetragonal", "relative_energy_ev_per_fu": 0.53, "m_tot_mub_per_fu": 0.0}

---

[3]
{"formula": "GaNiIrC", "functional": "PBE", "state": "optimized geometry", "cell": [[3.670, 0.000, 0.000], [0.000, 3.747, 0.000], [0.000, 0.000, 8.724]], "species": ["C", "C", "Ir", "Ir", "Ga", "Ga", "Ni", "Ni"], "frac_coords": [[0.000, 0.500, 0.582], [0.500, 0.000, 0.082], [0.000, 0.000, 0.502], [0.500, 0.500, 0.002], [0.000, 0.500, 0.814], [0.500, 0.000, 0.314], [0.000, 0.000, 0.007], [0.500, 0.500, 0.507]], "e_form_ev_per_atom": 0.124, "space_group": "Imm2 (44)", "crystal_system": "orthorhombic", "relative_energy_ev_per_fu": 0.00, "m_tot_mub_per_fu": 0.0}

---

[4]
{"formula": "Na2GaPS4", "functional": "PBE", "state": "optimized geometry", "cell": [[6.310, 0.409, 0.627], [-2.318, 5.883, -0.627], [-2.318, -2.942, 5.133]], "species": ["S", "S", "S", "S", "Na", "Na", "P", "Ga"], "frac_coords": [[0.013, 0.499, 0.179], [0.320, 0.821, 0.834], [0.987, 0.166, 0.486], [0.680, 0.514, 0.501], [0.000, 0.000, 0.000], [0.500, 0.750, 0.250], [0.000, 0.500, 0.500], [0.500, 0.250, 0.750]], "energy_ev_per_atom": -4.06, "space_group": "I-4 (82)", "crystal_system": "tetragonal", "m_tot_mub_per_fu": 0.0}